[1]
Crystalline Fe4C23 at its relaxed geometry, computed with GGA-PBE.

Results
Density of states at the Fermi level = 21.28 states/eV per cell
Space group = Pm-3n (223)
Total energy = -426.07 eV/cell
ΔE_f = 1221 meV per atom

a = 6.9513 Å, b = 6.9513 Å, c = 6.9513 Å
α = 90.00°, β = 90.00°, γ = 90.00°
Each line ends with the local moment (μB).
Fractional coordinates of all 54 atoms:
C: 0.0000 0.8775 0.6953  -0.01
C: 0.3147 0.6853 0.6853  0.01
C: 0.3047 0.0000 0.8775  -0.01
C: 0.6853 0.6853 0.6853  0.01
C: 0.1853 0.8147 0.1853  0.01
C: 0.1853 0.1853 0.1853  0.01
C: 0.5000 0.8047 0.3775  -0.01
C: 0.1853 0.8147 0.8147  0.01
C: 0.0000 0.1225 0.3047  -0.01
C: 0.7500 0.5000 0.0000  0.01
C: 0.3775 0.5000 0.8047  -0.01
Fe: 0.5000 0.7500 0.0000  2.35
Fe: 0.5000 0.5000 0.5000  1.88
C: 0.3147 0.3147 0.3147  0.01
Fe: 0.0000 0.5000 0.7500  2.35
C: 0.2500 0.5000 0.0000  0.01
C: 0.0000 0.1225 0.6953  -0.01
C: 0.5000 0.8047 0.6225  -0.01
Fe: 0.7500 0.0000 0.5000  2.35
C: 0.8775 0.6953 0.0000  -0.01
C: 0.0000 0.8775 0.3047  -0.01
C: 0.1853 0.1853 0.8147  0.01
C: 0.0000 0.2500 0.5000  0.01
C: 0.6953 0.0000 0.1225  -0.01
C: 0.1225 0.3047 0.0000  -0.01
C: 0.8047 0.6225 0.5000  -0.01
C: 0.5000 0.0000 0.2500  0.01
Fe: 0.0000 0.5000 0.2500  2.35
C: 0.8047 0.3775 0.5000  -0.01
C: 0.0000 0.7500 0.5000  0.01
C: 0.6853 0.3147 0.3147  0.01
C: 0.8147 0.8147 0.8147  0.01
Fe: 0.2500 0.0000 0.5000  2.35
C: 0.8147 0.1853 0.1853  0.01
C: 0.5000 0.0000 0.7500  0.01
C: 0.5000 0.1953 0.3775  -0.01
C: 0.8147 0.1853 0.8147  0.01
Fe: 0.0000 0.0000 0.0000  1.88
C: 0.3047 0.0000 0.1225  -0.01
C: 0.6225 0.5000 0.8047  -0.01
C: 0.8775 0.3047 0.0000  -0.01
C: 0.8147 0.8147 0.1853  0.01
C: 0.6953 0.0000 0.8775  -0.01
C: 0.1953 0.6225 0.5000  -0.01
C: 0.5000 0.1953 0.6225  -0.01
C: 0.3147 0.6853 0.3147  0.01
C: 0.1225 0.6953 0.0000  -0.01
Fe: 0.5000 0.2500 0.0000  2.35
C: 0.3775 0.5000 0.1953  -0.01
C: 0.1953 0.3775 0.5000  -0.01
C: 0.6853 0.3147 0.6853  0.01
C: 0.6225 0.5000 0.1953  -0.01
C: 0.3147 0.3147 0.6853  0.01
C: 0.6853 0.6853 0.3147  0.01


[2]
Crystalline FeC3 at its relaxed geometry, computed with GGA-PBE.

Results
Density of states at the Fermi level = 1.92 states/eV per cell
Space group = Amm2 (38)
Total energy = -32.86 eV/cell
Polymorph energy (0 for the lowest one) = 246 meV/atom
ΔE_f = 817 meV per atom

a = 2.7020 Å, b = 3.6720 Å, c = 3.9394 Å
α = 90.00°, β = 110.08°, γ = 90.00°
Each line ends with the local moment (μB).
Fractional coordinates of all 4 atoms:
C: 0.4693 0.6906 0.9879  -0.01
C: 0.5905 0.0000 0.2300  -0.01
C: 0.4693 0.3094 0.9879  -0.01
Fe: 0.8482 0.0000 0.7458  0.81


[3]
Crystalline FeC2 at its relaxed geometry, computed with GGA-PBE.

Results
Density of states at the Fermi level = 2.01 states/eV per cell
Space group = Cm (8)
Total energy = -48.19 eV/cell
Polymorph energy (0 for the lowest one) = 420 meV/atom
ΔE_f = 938 meV per atom

a = 3.3403 Å, b = 3.1389 Å, c = 5.9685 Å
α = 90.00°, β = 103.22°, γ = 90.00°
Fractional coordinates of all 6 atoms:
Fe: 0.1500 0.0000 0.3313
C: 0.6091 0.0000 0.1928
C: 0.6091 0.5000 0.6928
Fe: 0.1500 0.5000 0.8313
C: 0.2815 0.0000 0.0106
C: 0.2815 0.5000 0.5106


[4]
Crystalline Fe3C2 at its relaxed geometry, computed with GGA-PBE.

Results
Density of states at the Fermi level = 3.29 states/eV per cell
Space group = P-3m1 (164)
Total energy = -42.70 eV/cell
ΔE_f = 227 meV per atom

a = 3.0499 Å, b = 3.0499 Å, c = 5.4799 Å
α = 90.00°, β = 90.00°, γ = 120.00°
Each line ends with the local moment (μB).
Fractional coordinates of all 5 atoms:
C: 0.3333 0.6667 0.7628  -0.02
Fe: 0.6667 0.3333 0.6607  -0.14
Fe: 0.0000 0.0000 0.0000  1.70
Fe: 0.3333 0.6667 0.3393  -0.14
C: 0.6667 0.3333 0.2372  -0.02


[5]
Crystalline Fe6C7 at its relaxed geometry, computed with GGA-PBE.

Results
Density of states at the Fermi level = 6.46 states/eV per cell
Space group = R-3m (166)
Total energy = -100.56 eV/cell
ΔE_f = 1137 meV per atom

a = 8.6233 Å, b = 8.6233 Å, c = 8.6233 Å
α = 26.93°, β = 26.93°, γ = 26.93°
Each line ends with the local moment (μB).
Fractional coordinates of all 13 atoms:
Fe: 0.9288 0.9288 0.9288  -0.92
C: 0.5000 0.5000 0.5000  -0.27
C: 0.9862 0.6089 0.6089  -0.02
C: 0.6089 0.9862 0.6089  -0.02
C: 0.0138 0.3911 0.3911  -0.02
Fe: 0.1912 0.1912 0.1912  1.97
Fe: 0.0712 0.0712 0.0712  -0.92
Fe: 0.6462 0.6462 0.6462  0.62
C: 0.3911 0.0138 0.3911  -0.02
C: 0.6089 0.6089 0.9862  -0.02
Fe: 0.8088 0.8088 0.8088  1.97
C: 0.3911 0.3911 0.0138  -0.02
Fe: 0.3538 0.3538 0.3538  0.62


[6]
Crystalline FeC at its relaxed geometry, computed with GGA-PBE.

Results
Density of states at the Fermi level = 1.79 states/eV per cell
Space group = C2/m (12)
Total energy = -32.60 eV/cell
ΔE_f = 692 meV per atom

a = 3.5604 Å, b = 4.9849 Å, c = 2.8070 Å
α = 73.65°, β = 66.78°, γ = 44.69°
Fractional coordinates of all 4 atoms:
C: 0.9333 0.4702 0.7983
Fe: 0.4517 0.5321 0.5081
Fe: 0.4650 0.0513 0.2419
C: 0.9833 0.1132 0.9517


[7]
Crystalline FeC2 at its relaxed geometry, computed with GGA-PBE.

Results
Density of states at the Fermi level = 1.04 states/eV per cell
Space group = Cm (8)
Total energy = -47.34 eV/cell
Polymorph energy (0 for the lowest one) = 562 meV/atom
ΔE_f = 1081 meV per atom

a = 3.6936 Å, b = 3.6936 Å, c = 5.2450 Å
α = 88.55°, β = 88.55°, γ = 41.83°
Fractional coordinates of all 6 atoms:
C: 0.6195 0.6195 0.7026
Fe: 0.2294 0.2294 0.9552
Fe: 0.9658 0.9658 0.3687
C: 0.9230 0.9230 0.0332
C: 0.6790 0.6790 0.4379
C: 0.4166 0.4166 0.6691


[8]
Crystalline Fe2C at its relaxed geometry, computed with GGA-PBE.

Results
Density of states at the Fermi level = 6.21 states/eV per cell
Space group = P6_3/mmc (194)
Total energy = -50.92 eV/cell
ΔE_f = 230 meV per atom

a = 2.6398 Å, b = 2.6398 Å, c = 9.1887 Å
α = 90.00°, β = 90.00°, γ = 120.00°
Each line ends with the local moment (μB).
Fractional coordinates of all 6 atoms:
Fe: 0.6667 0.3333 0.3861  1.70
Fe: 0.6667 0.3333 0.1139  1.70
Fe: 0.3333 0.6667 0.8861  1.70
Fe: 0.3333 0.6667 0.6139  1.70
C: 0.0000 0.0000 0.7500  -0.12
C: 0.0000 0.0000 0.2500  -0.12


[9]
Crystalline Fe2C at its relaxed geometry, computed with GGA-PBE.

Results
Density of states at the Fermi level = 3.31 states/eV per cell
Space group = P6/mmm (191)
Total energy = -21.34 eV/cell
ΔE_f = 1601 meV per atom

a = 3.6636 Å, b = 3.6636 Å, c = 2.4561 Å
α = 90.00°, β = 90.00°, γ = 120.00°
Each line ends with the local moment (μB).
Fractional coordinates of all 3 atoms:
Fe: 0.6667 0.3333 0.5000  1.09
C: 0.0000 0.0000 0.0000  -0.06
Fe: 0.3333 0.6667 0.5000  1.09


[10]
Crystalline FeC3 at its relaxed geometry, computed with GGA-PBE.

Results
Density of states at the Fermi level = 1.44 states/eV per cell
Space group = Pmm2 (25)
Total energy = -33.79 eV/cell
Polymorph energy (0 for the lowest one) = 14 meV/atom
ΔE_f = 585 meV per atom

a = 2.5052 Å, b = 2.5354 Å, c = 4.6848 Å
α = 90.00°, β = 90.00°, γ = 90.00°
Fractional coordinates of all 4 atoms:
C: 0.5000 0.0000 0.7977
Fe: 0.0000 0.5000 0.9905
C: 0.5000 0.0000 0.4864
C: 0.0000 0.0000 0.3314


[11]
Crystalline FeC at its relaxed geometry, computed with GGA-PBE.

Results
Density of states at the Fermi level = 1.82 states/eV per cell
Space group = Cmcm (63)
Total energy = -33.54 eV/cell
ΔE_f = 459 meV per atom

a = 3.7985 Å, b = 3.2641 Å, c = 3.2680 Å
α = 62.92°, β = 90.00°, γ = 90.00°
Fractional coordinates of all 4 atoms:
Fe: 0.0000 0.6613 0.6612
C: 0.5000 0.7404 0.7402
Fe: 0.5000 0.0887 0.0888
C: 0.0000 0.0096 0.0098


[12]
Crystalline FeC2 at its relaxed geometry, computed with GGA-PBE.

Results
Density of states at the Fermi level = 3.25 states/eV per cell
Space group = P4/nmm (129)
Total energy = -45.86 eV/cell
Polymorph energy (0 for the lowest one) = 809 meV/atom
ΔE_f = 1327 meV per atom

a = 2.5440 Å, b = 2.5440 Å, c = 6.4835 Å
α = 90.00°, β = 90.00°, γ = 90.00°
Fractional coordinates of all 6 atoms:
C: 0.0000 0.5000 0.5893
Fe: 0.0000 0.5000 0.2839
Fe: 0.5000 0.0000 0.7161
C: 0.5000 0.5000 0.0000
C: 0.5000 0.0000 0.4107
C: 0.0000 0.0000 0.0000